A relaxed structure of NaTa2VO8, computed with PBE+U.

Cell: 4.746 4.744 6.255 Å, 90.00 90.00 87.54°
Element x y z (fractional)
O  0.798  0.203  0.792
O  0.320  0.320  0.500
O  0.680  0.680  0.500
O  0.299  0.299  0.000
O  0.202  0.797  0.792
O  0.798  0.203  0.208
O  0.202  0.797  0.208
O  0.701  0.701  0.000
Ta  0.500  0.500  0.747
Ta  0.500  0.500  0.253
Na  0.000  0.000  0.500
V  0.000  0.000  0.000

A relaxed structure of NaTaVO5, computed with PBE+U.

Cell: 5.765 5.765 7.538 Å, 103.89 103.89 105.77°
Each line ends with the local moment (μB).
Element x y z (fractional)
O  0.257  0.355  0.591  -0.01
O  0.718  0.124  0.399  -0.02
O  0.282  0.876  0.601  -0.02
O  0.645  0.743  0.909  -0.01
O  0.124  0.718  0.899  -0.02
O  0.063  0.937  0.250  -0.01
O  0.355  0.257  0.091  -0.01
O  0.937  0.063  0.750  -0.01
O  0.743  0.645  0.409  -0.01
O  0.876  0.282  0.101  -0.02
Ta  0.000  0.000  0.000  0.03
Ta  0.000  0.000  0.500  0.03
Na  0.321  0.679  0.250  0.00
Na  0.679  0.321  0.750  0.00
V  0.673  0.327  0.250  0.98
V  0.327  0.673  0.750  0.98

A relaxed structure of NaTaWO6, computed with PBE+U.

Cell: 4.898 4.898 9.391 Å, 90.00 90.00 90.00°
Element x y z (fractional)
O  0.221  0.779  0.194
O  0.325  0.325  0.004
O  0.785  0.215  0.803
O  0.779  0.221  0.194
O  0.715  0.715  0.303
O  0.285  0.285  0.303
O  0.215  0.785  0.803
O  0.825  0.175  0.504
O  0.175  0.825  0.504
O  0.675  0.675  0.004
O  0.279  0.279  0.694
O  0.721  0.721  0.694
Na  0.500  0.500  0.500
Na  0.000  0.000  0.000
Ta  0.500  0.500  0.831
Ta  0.000  0.000  0.331
W  0.000  0.000  0.668
W  0.500  0.500  0.168

Offset from the most stable computed form, eV/atom: 0.037

A relaxed structure of NaTaW2O8, computed with PBE+U.

Cell: 4.927 4.923 6.116 Å, 90.00 90.00 86.86°
Element x y z (fractional)
O  0.331  0.330  0.500
O  0.213  0.786  0.781
O  0.714  0.715  0.000
O  0.669  0.670  0.500
O  0.787  0.214  0.781
O  0.213  0.786  0.219
O  0.787  0.214  0.219
O  0.286  0.285  0.000
Na  0.000  0.000  0.500
W  0.500  0.500  0.761
W  0.500  0.500  0.239
Ta  0.000  0.000  0.000

A relaxed structure of NaTaWO6, computed with PBE+U.

Cell: 7.404 7.404 7.404 Å, 120.13 119.76 90.09°
Element x y z (fractional)
Na  0.000  0.500  0.500
Na  0.500  0.500  0.000
O  0.940  0.065  0.249
O  0.940  0.691  0.875
O  0.307  0.057  0.250
O  0.070  0.320  0.750
O  0.060  0.935  0.751
O  0.316  0.691  0.251
O  0.930  0.680  0.250
O  0.316  0.065  0.625
O  0.684  0.935  0.375
O  0.684  0.309  0.749
O  0.060  0.309  0.125
O  0.693  0.943  0.750
Ta  0.000  0.000  0.500
Ta  0.000  0.500  0.000
W  0.000  0.000  0.000
W  0.500  0.000  0.500

Offset from the most stable computed form, eV/atom: 0.000

A relaxed structure of Na2TaWO6, computed with PBE+U.

Cell: 3.974 5.621 5.621 Å, 90.00 90.00 90.00°
Each line ends with the local moment (μB).
Element x y z (fractional)
O  0.145  0.500  0.500  0.00
O  0.645  0.250  0.250  -0.01
O  0.145  0.000  0.000  -0.09
O  0.645  0.750  0.750  -0.01
O  0.645  0.750  0.250  -0.01
O  0.645  0.250  0.750  -0.01
Ta  0.645  0.500  0.500  0.11
Na  0.145  0.000  0.500  0.00
Na  0.145  0.500  0.000  0.00
W  0.645  0.000  0.000  0.94

A relaxed structure of NaTaWO7, computed with PBE+U.

Cell: 7.390 7.390 7.390 Å, 119.04 119.59 91.19°
Each line ends with the local moment (μB).
Element x y z (fractional)
O  0.181  0.931  0.250  0.01
O  0.436  0.686  0.380  0.02
O  0.184  0.434  0.750  1.40
O  0.816  0.566  0.250  1.40
O  0.436  0.686  0.750  0.13
O  0.806  0.686  0.750  0.02
O  0.819  0.069  0.750  0.01
O  0.194  0.944  0.880  0.02
O  0.564  0.944  0.250  0.02
O  0.194  0.314  0.250  0.02
O  0.806  0.056  0.120  0.02
O  0.564  0.314  0.620  0.02
O  0.564  0.314  0.250  0.13
O  0.436  0.056  0.750  0.02
W  0.500  0.500  0.500  -0.01
W  0.500  0.000  0.000  -0.01
Na  0.000  0.000  0.500  0.00
Na  0.000  0.500  0.000  0.00
Ta  0.000  0.000  0.000  0.00
Ta  0.500  0.000  0.500  0.00

A relaxed structure of NaTa2WO, computed with PBE+U.

Cell: 4.827 5.649 4.827 Å, 90.00 90.00 90.00°
Element x y z (fractional)
O  0.500  0.500  0.500
Ta  0.500  0.000  0.000
Ta  0.000  0.000  0.500
Na  0.000  0.500  0.000
W  0.000  0.000  0.000

| no. | calculated total energy (eV/atom) |
| --- | --- |
| 1 | -8.367 |
| 2 | -8.037 |
| 3 | -7.890 |
| 4 | -7.744 |
| 5 | -7.926 |
| 6 | -7.448 |
| 7 | -7.359 |
| 8 | -5.179 |